No. 1
The following is a PBE-GGA calculation of a relaxed CdRe2Sb crystal, from Alexandria.

Output
The value obtained for the total energy is -6.64 eV per atom.

Lattice parameters (Å, degrees): 4.1362 4.1362 8.2272 90.00 90.00 90.00
Space group I-4m2 (No. 119)
Symmetry-distinct sites (fractional):
Cd1 0.0000 0.0000 0.0000 x2
Re1 0.0000 0.0000 0.5000 x2
Re2 0.0000 0.5000 0.7500 x2
Sb1 0.0000 0.5000 0.2500 x2


No. 2
The following is a PBE-GGA calculation of a relaxed CdRe2Sb crystal, from Alexandria.

Output
The value obtained for the total energy is -6.62 eV per atom.

Lattice parameters (Å, degrees): 6.5168 6.5168 6.5168 90.00 90.00 90.00
Space group Fm-3m (No. 225)
Symmetry-distinct sites (fractional):
Cd1 0.0000 0.0000 0.0000 x4
Re1 0.2500 0.2500 0.2500 x8
Sb1 0.0000 0.0000 0.5000 x4


No. 3
The following is a PBE-GGA calculation of a relaxed CdRe2Sb crystal, from Alexandria.

Output
The value obtained for the total energy is -6.68 eV per atom.

Lattice parameters (Å, degrees): 9.1158 3.0386 5.1916 90.00 99.81 90.00
Space group C2/m (No. 12)
Symmetry-distinct sites (fractional):
Cd1 0.0000 0.0000 0.0000 x2
Re1 0.2474 0.0000 0.7373 x4
Sb1 0.0000 0.5000 0.5000 x2


No. 4
The following is a PBE-GGA calculation of a relaxed CdReSb2 crystal, from Alexandria.

Output
The value obtained for the total energy is -4.84 eV per atom.

Lattice parameters (Å, degrees): 2.9517 4.4109 7.2757 90.00 90.04 90.00
Space group Pm (No. 6)
Symmetry-distinct sites (fractional):
Cd1 0.0000 0.0000 0.0000 x1
Re1 0.5002 0.5000 0.1687 x1
Sb1 0.4983 0.5000 0.7746 x1
Sb2 0.5014 0.0000 0.3997 x1